VASP calculation (GGA-PBE) on an optimized crystal structure of La2Tl3SnSe6.

Properties
raw formation energy = -1.083 eV/atom
calculated total energy = -54.855 eV/f.u.
Fermi-level density of states = 9.7 states/eV/cell

Lattice parameters (Å, degrees): 19.815 4.344 9.147 90.00 107.10 90.00
Space group C2/m (No. 12)
Symmetry-distinct sites (fractional):
La: 0.164 0.000 0.332 x4
Tl: 0.000 0.500 0.500 x2
Tl: 0.170 0.000 0.838 x4
Sn: 0.000 0.500 0.000 x2
Se: 0.003 0.000 0.223 x4
Se: 0.153 0.500 0.098 x4
Se: 0.176 0.500 0.565 x4

***

VASP calculation (GGA-PBE) on an optimized crystal structure of LaTl3Sn2Se6.

Properties
raw formation energy = -0.722 eV/atom
calculated total energy = -49.606 eV/f.u.
Fermi-level density of states = 16.1 states/eV/cell

Lattice parameters (Å, degrees): 7.368 12.833 8.003 90.00 107.98 90.00
Space group C2/m (No. 12)
Symmetry-distinct sites (fractional):
La: 0.000 0.000 0.000 x2
Tl: 0.000 0.162 0.500 x4
Tl: 0.000 0.500 0.500 x2
Sn: 0.000 0.333 0.000 x4
Se: 0.222 0.500 0.207 x4
Se: 0.245 0.172 0.216 x8

***

VASP calculation (GGA-PBE) on an optimized crystal structure of La2ZnSnSe5.

Properties
raw formation energy = -1.337 eV/atom
calculated total energy = -44.583 eV/f.u.

Lattice parameters (Å, degrees): 4.186 18.345 12.331 90.00 90.00 90.00
Space group Cmc2_1 (No. 36)
Symmetry-distinct sites (fractional):
La: 0.000 0.110 0.000 x4
La: 0.000 0.125 0.621 x4
Zn: 0.000 0.443 0.769 x4
Sn: 0.000 0.205 0.329 x4
Se: 0.000 0.043 0.376 x4
Se: 0.000 0.285 0.997 x4
Se: 0.000 0.321 0.658 x4
Se: 0.000 0.364 0.315 x4
Se: 0.000 0.495 0.091 x4

***

VASP calculation (GGA-PBE) on an optimized crystal structure of SrLa2Se.

Properties
raw formation energy = -0.404 eV/atom
calculated total energy = -16.636 eV/f.u.
Fermi-level density of states = 3.9 states/eV/cell

Lattice parameters (Å, degrees): 5.573 5.573 4.058 90.00 90.00 90.00
Space group P4/mmm (No. 123)
Symmetry-distinct sites (fractional):
Sr: 0.000 0.000 0.000 x1
La: 0.000 0.500 0.500 x2
Se: 0.500 0.500 0.000 x1

***

VASP calculation (GGA-PBE) on an optimized crystal structure of SrLa2Se.

Properties
raw formation energy = -0.705 eV/atom
calculated total energy = -17.841 eV/f.u.
Fermi-level density of states = 10.6 states/eV/cell

Lattice parameters (Å, degrees): 3.758 5.385 13.258 90.00 90.00 90.00
Space group Immm (No. 71)
Symmetry-distinct sites (fractional):
Sr: 0.000 0.000 0.000 x2
La: 0.000 0.500 0.198 x4
Se: 0.000 0.000 0.500 x2

***

VASP calculation (GGA-PBE) on an optimized crystal structure of SrLa2Se4.

Properties
raw formation energy = -2.010 eV/atom
calculated total energy = -39.545 eV/f.u.

Lattice parameters (Å, degrees): 4.316 14.306 14.422 90.00 90.00 90.00
Space group Cmcm (No. 63)
Symmetry-distinct sites (fractional):
Sr: 0.000 0.114 0.250 x4
La: 0.000 0.367 0.071 x8
Se: 0.000 0.000 0.000 x4
Se: 0.000 0.271 0.618 x8
Se: 0.000 0.463 0.250 x4

***

VASP calculation (GGA-PBE) on an optimized crystal structure of Sr2LaSe.

Properties
raw formation energy = -0.734 eV/atom
calculated total energy = -14.712 eV/f.u.
Fermi-level density of states = 11.8 states/eV/cell

Lattice parameters (Å, degrees): 4.502 6.549 10.848 90.00 90.00 90.00
Space group Cmm2 (No. 35)
Symmetry-distinct sites (fractional):
Sr: 0.000 0.000 0.000 x2
Sr: 0.000 0.500 0.328 x2
La: 0.000 0.500 0.703 x2
Se: 0.000 0.000 0.519 x2

***

VASP calculation (GGA-PBE) on an optimized crystal structure of Sr2LaSe.

Properties
raw formation energy = -0.759 eV/atom
calculated total energy = -14.813 eV/f.u.
Fermi-level density of states = 4.6 states/eV/cell

Lattice parameters (Å, degrees): 3.832 3.832 10.091 90.00 90.00 90.00
Space group P4/mmm (No. 123)
Symmetry-distinct sites (fractional):
Sr: 0.000 0.000 0.183 x2
La: 0.500 0.500 0.500 x1
Se: 0.500 0.500 0.000 x1

***

What magnetization values result from the calculations? In sequence: 0.00 0.00 0.00 0.00 0.00 0.00 0.02 0.00 μB per atom.